{
  "formula": "PrCo4B4",
  "functional": "GGA-PBE",
  "state": "optimized geometry",
  "formation_enthalpy_0k_mev_per_atom": -447.1,
  "total_energy_ev_per_atom": -7.104,
  "lattice": [[7.087, 0.000, 0.000], [0.000, 7.087, 0.000], [0.000, 0.000, 3.796]],
  "species": ["B", "B", "B", "Co", "Co", "B", "Co", "Co", "B", "B", "Co", "Co", "Co", "B", "B", "Pr", "Pr", "Co"],
  "fractional_positions": [[0.838, 0.297, 0.604], [0.162, 0.703, 0.604], [0.703, 0.838, 0.396], [0.615, 0.857, 0.894], [0.143, 0.615, 0.106], [0.338, 0.797, 0.896], [0.885, 0.643, 0.606], [0.115, 0.357, 0.606], [0.662, 0.203, 0.896], [0.797, 0.662, 0.104], [0.357, 0.885, 0.394], [0.857, 0.385, 0.106], [0.385, 0.143, 0.894], [0.203, 0.338, 0.104], [0.297, 0.162, 0.396], [0.000, 0.000, 0.000], [0.500, 0.500, 0.500], [0.643, 0.115, 0.394]]
}

=====

{
  "formula": "SrAlP",
  "functional": "GGA-PBE",
  "state": "optimized geometry",
  "formation_enthalpy_0k_mev_per_atom": -638.0,
  "total_energy_ev_per_atom": -4.249,
  "lattice": [[3.983, 0.000, 0.000], [-1.991, 3.449, 0.000], [0.000, 0.000, 5.551]],
  "species": ["P", "Al", "Sr"],
  "fractional_positions": [[0.667, 0.333, 0.270], [0.000, 0.000, 0.092], [0.333, 0.667, 0.638]]
}

=====

{
  "formula": "Ac4IrIBr2",
  "functional": "GGA-PBE",
  "state": "optimized geometry",
  "formation_energy_uncorrected_ev_per_fu": -8.6,
  "total_energy_ev_per_atom": -4.850,
  "lattice": [[-0.426, -3.410, 2.603], [9.269, -3.083, -2.522], [-1.967, 5.962, 7.489]],
  "species": ["Ac", "Ac", "Ir", "Br", "Br", "Ac", "Ac", "I"],
  "fractional_positions": [[0.000, 0.715, 0.211], [0.500, 0.656, 0.816], [0.500, 0.500, 0.000], [0.500, 0.000, 0.500], [0.000, 0.500, 0.500], [0.500, 0.344, 0.184], [0.000, 0.285, 0.789], [0.000, 0.000, 0.000]]
}

=====

{
  "formula": "CaPr6Nd2Dy3",
  "functional": "GGA-PBE",
  "state": "optimized geometry",
  "formation_enthalpy_0k_mev_per_atom": 22.9,
  "total_energy_ev_per_atom": -4.479,
  "lattice": [[6.379, -0.001, 0.007], [-3.189, 5.524, 0.007], [-1.069, -1.851, 11.905]],
  "species": ["Pr", "Nd", "Pr", "Dy", "Pr", "Pr", "Dy", "Ca", "Dy", "Pr", "Pr", "Nd"],
  "fractional_positions": [[0.748, 0.748, 0.257], [0.333, 0.667, 0.000], [0.914, 0.576, 0.744], [0.500, 0.500, 0.500], [0.576, 0.914, 0.744], [0.424, 0.086, 0.256], [0.166, 0.834, 0.500], [0.000, 0.000, 0.000], [0.834, 0.166, 0.500], [0.252, 0.252, 0.743], [0.086, 0.424, 0.256], [0.667, 0.333, 0.000]]
}

=====

{
  "formula": "MgZnPt2Au",
  "functional": "GGA-PBE",
  "state": "optimized geometry",
  "formation_enthalpy_0k_mev_per_atom": 649.2,
  "total_energy_ev_per_atom": -2.996,
  "lattice": [[-3.789, -2.428, 1.153], [2.456, -2.209, 3.419], [-1.210, 3.320, 3.015]],
  "species": ["Mg", "Zn", "Pt", "Au", "Pt"],
  "fractional_positions": [[0.000, 0.000, 0.000], [0.500, 0.500, 0.500], [0.000, 0.000, 0.500], [0.000, 0.500, 0.000], [0.500, 0.000, 0.000]]
}

=====

{
  "formula": "SrOs",
  "functional": "GGA-PBE",
  "state": "optimized geometry",
  "formation_enthalpy_0k_mev_per_atom": 578.6,
  "total_energy_ev_per_atom": -5.877,
  "lattice": [[-1.510, 3.031, 0.762], [-1.961, -1.672, 2.765], [6.562, 1.823, 5.757]],
  "species": ["Sr", "Os", "Sr", "Os"],
  "fractional_positions": [[0.500, 0.000, 0.622], [0.000, 0.000, 0.920], [0.000, 0.500, 0.211], [0.500, 0.500, 0.914]]
}

=====

{
  "formula": "ScBi2Pt2",
  "functional": "GGA-PBE",
  "state": "optimized geometry",
  "formation_enthalpy_0k_mev_per_atom": -463.0,
  "total_energy_ev_per_atom": -5.698,
  "lattice": [[7.203, 0.000, 0.000], [0.000, 7.203, 0.000], [0.000, 0.000, 4.340]],
  "species": ["Pt", "Bi", "Bi", "Pt", "Sc", "Pt", "Sc", "Pt", "Bi", "Bi"],
  "fractional_positions": [[0.135, 0.365, 0.000], [0.823, 0.323, 0.500], [0.677, 0.823, 0.500], [0.635, 0.135, 0.000], [0.500, 0.500, 0.000], [0.865, 0.635, 0.000], [0.000, 0.000, 0.000], [0.365, 0.865, 0.000], [0.323, 0.177, 0.500], [0.177, 0.677, 0.500]]
}

=====

{
  "formula": "CeHo6Er3Th2",
  "functional": "GGA-PBE",
  "state": "optimized geometry",
  "formation_enthalpy_0k_mev_per_atom": 33.3,
  "total_energy_ev_per_atom": -5.127,
  "lattice": [[6.113, 0.001, 0.006], [-3.054, 5.295, 0.006], [-1.032, -1.788, 11.471]],
  "species": ["Th", "Er", "Ho", "Ho", "Ho", "Er", "Ho", "Ho", "Er", "Th", "Ce", "Ho"],
  "fractional_positions": [[0.333, 0.667, 0.000], [0.167, 0.833, 0.500], [0.917, 0.583, 0.752], [0.251, 0.251, 0.752], [0.417, 0.083, 0.248], [0.500, 0.500, 0.500], [0.749, 0.749, 0.248], [0.583, 0.917, 0.752], [0.833, 0.167, 0.500], [0.667, 0.333, 0.000], [0.000, 0.000, 0.000], [0.083, 0.417, 0.248]]
}

=====

Repeat the seventh record exactly.
{
  "formula": "ScBi2Pt2",
  "functional": "GGA-PBE",
  "state": "optimized geometry",
  "formation_enthalpy_0k_mev_per_atom": -463.0,
  "total_energy_ev_per_atom": -5.698,
  "lattice": [[7.203, 0.000, 0.000], [0.000, 7.203, 0.000], [0.000, 0.000, 4.340]],
  "species": ["Pt", "Bi", "Bi", "Pt", "Sc", "Pt", "Sc", "Pt", "Bi", "Bi"],
  "fractional_positions": [[0.135, 0.365, 0.000], [0.823, 0.323, 0.500], [0.677, 0.823, 0.500], [0.635, 0.135, 0.000], [0.500, 0.500, 0.000], [0.865, 0.635, 0.000], [0.000, 0.000, 0.000], [0.365, 0.865, 0.000], [0.323, 0.177, 0.500], [0.177, 0.677, 0.500]]
}

=====

What did the first record say?
{
  "formula": "PrCo4B4",
  "functional": "GGA-PBE",
  "state": "optimized geometry",
  "formation_enthalpy_0k_mev_per_atom": -447.1,
  "total_energy_ev_per_atom": -7.104,
  "lattice": [[7.087, 0.000, 0.000], [0.000, 7.087, 0.000], [0.000, 0.000, 3.796]],
  "species": ["B", "B", "B", "Co", "Co", "B", "Co", "Co", "B", "B", "Co", "Co", "Co", "B", "B", "Pr", "Pr", "Co"],
  "fractional_positions": [[0.838, 0.297, 0.604], [0.162, 0.703, 0.604], [0.703, 0.838, 0.396], [0.615, 0.857, 0.894], [0.143, 0.615, 0.106], [0.338, 0.797, 0.896], [0.885, 0.643, 0.606], [0.115, 0.357, 0.606], [0.662, 0.203, 0.896], [0.797, 0.662, 0.104], [0.357, 0.885, 0.394], [0.857, 0.385, 0.106], [0.385, 0.143, 0.894], [0.203, 0.338, 0.104], [0.297, 0.162, 0.396], [0.000, 0.000, 0.000], [0.500, 0.500, 0.500], [0.643, 0.115, 0.394]]
}